Compound: Tb2Sm3Ho8
Source: Alexandria via LeMat-Bulk
Functional: GGA-PBE
Structure: optimized geometry

abc: 5.0272 7.9504 12.8060
angles: 55.99 101.31 89.99
Atoms (fractional coordinates):
Sm1 0.5387 0.2295 0.0776
Ho1 0.3070 0.8465 0.6143
Ho2 0.3835 0.3112 0.7671
Ho3 0.8449 0.0786 0.6901
Ho4 0.6930 0.1535 0.3857
Ho5 0.0776 0.4590 0.1554
Ho6 0.1551 0.9214 0.3099
Sm2 0.4613 0.7705 0.9224
Tb1 0.2311 0.3839 0.4621
Sm3 0.0000 0.0000 0.0000
Tb2 0.7689 0.6161 0.5379
Ho7 0.6165 0.6888 0.2329
Ho8 0.9224 0.5410 0.8446

Offset from the most stable computed form (eV per atom): 0.000
VASP energy (eV per cell): -59.789
Energy of formation (eV per atom): 0.019
Volume (Å³/cell): 412.2
DOS at the Fermi energy (states/eV/atom): 1.341

---

Compound: Pa2AlMo
Source: Alexandria via LeMat-Bulk
Functional: GGA-PBE
Structure: optimized geometry

abc: 4.9735 4.9735 4.9735
angles: 60.00 60.00 60.00
Atoms (fractional coordinates):
Pa1 0.2500 0.2500 0.2500
Mo1 0.5000 0.5000 0.5000
Al1 0.0000 0.0000 0.0000
Pa2 0.7500 0.7500 0.7500

Offset from the most stable computed form (eV per atom): 0.176
VASP energy (eV per cell): -33.058
Energy of formation (eV per atom): 0.127
Volume (Å³/cell): 87.0
DOS at the Fermi energy (states/eV/atom): 1.448

---

Compound: CaRh
Source: Alexandria via LeMat-Bulk
Functional: GGA-PBE
Structure: optimized geometry

abc: 7.6042 7.6042 7.6042
angles: 90.00 90.00 90.00
Site moments in Bohr magnetons follow the coordinates.
Atoms (fractional coordinates):
Rh1 0.7500 0.5000 0.0000  0.20
Rh2 0.0000 0.2500 0.5000  0.20
Rh3 0.2500 0.5000 0.0000  0.20
Ca1 0.2500 0.0000 0.5000  -0.01
Ca2 0.5000 0.7500 0.0000  -0.01
Ca3 0.5000 0.2500 0.0000  -0.01
Ca4 0.7500 0.0000 0.5000  -0.01
Rh4 0.5000 0.0000 0.2500  0.20
Rh5 0.5000 0.0000 0.7500  0.20
Ca5 0.0000 0.5000 0.7500  -0.01
Rh6 0.0000 0.7500 0.5000  0.20
Ca6 0.0000 0.5000 0.2500  -0.01

VASP energy (eV per cell): -45.768
Energy of formation (eV per atom): 0.862
Volume (Å³/cell): 439.7
DOS at the Fermi energy (states/eV/atom): 2.330

---

Compound: YZn2Se
Source: Alexandria via LeMat-Bulk
Functional: GGA-PBE
Structure: optimized geometry

abc: 4.9027 4.9027 4.9027
angles: 60.00 60.00 60.00
Atoms (fractional coordinates):
Y1 0.7500 0.7500 0.7500
Zn1 0.2500 0.2500 0.2500
Zn2 0.0000 0.0000 0.0000
Se1 0.5000 0.5000 0.5000

Formation energy (no corrections) (eV/atom): -0.41
VASP energy (eV per cell): -14.142
Volume (Å³/cell): 83.3
DOS at the Fermi energy (states/eV/atom): 0.624

---

Compound: AgMo2P
Source: Alexandria via LeMat-Bulk
Functional: GGA-PBE
Structure: optimized geometry

abc: 5.0264 5.0264 5.0264
angles: 141.96 125.11 68.73
Atoms (fractional coordinates):
Mo1 0.7955 0.7955 0.0000
Mo2 0.2045 0.2045 0.0000
Ag1 0.5000 0.0000 0.5000
P1 0.0000 0.5000 0.5000

VASP energy (eV per cell): -29.146
Energy of formation (eV per atom): 0.194
Volume (Å³/cell): 63.0
DOS at the Fermi energy (states/eV/atom): 0.921

---

Compound: Tl2InNi2
Source: Alexandria via LeMat-Bulk
Functional: GGA-PBE
Structure: optimized geometry

abc: 6.9990 6.9990 3.8918
angles: 90.00 90.00 90.00
Atoms (fractional coordinates):
Tl1 0.8367 0.3367 0.5000
Tl2 0.1633 0.6633 0.5000
In1 0.0000 0.0000 0.0000
Tl3 0.6633 0.8367 0.5000
Ni1 0.3663 0.8663 0.0000
In2 0.5000 0.5000 0.0000
Ni2 0.8663 0.6337 0.0000
Ni3 0.6337 0.1337 0.0000
Ni4 0.1337 0.3663 0.0000
Tl4 0.3367 0.1633 0.5000

Offset from the most stable computed form (eV per atom): 0.000
VASP energy (eV per cell): -36.140
Energy of formation (eV per atom): 0.193
Volume (Å³/cell): 190.6
DOS at the Fermi energy (states/eV/atom): 0.600

---

Compound: CeNdH2
Source: Alexandria via LeMat-Bulk
Functional: GGA-PBE
Structure: optimized geometry

abc: 3.5786 3.5786 6.2884
angles: 73.47 73.47 60.00
Site moments in Bohr magnetons follow the coordinates.
Atoms (fractional coordinates):
Ce1 0.5000 0.5000 0.5000  0.72
H1 0.2491 0.2491 0.2527  0.00
Nd1 0.0000 0.0000 0.0000  0.02
H2 0.7509 0.7509 0.7473  0.00

Offset from the most stable computed form (eV per atom): 0.000
VASP energy (eV per cell): -18.862
Volume (Å³/cell): 65.9
DOS at the Fermi energy (states/eV/atom): 1.437

---

Compound: Pm4Ga3Pt
Source: Alexandria via LeMat-Bulk
Functional: GGA-PBE
Structure: optimized geometry

abc: 4.3274 4.2832 10.9256
angles: 90.00 90.00 90.00
Atoms (fractional coordinates):
Pm1 0.0000 0.5000 0.8655
Pm2 0.5000 0.0000 0.6440
Pm3 0.0000 0.0000 0.1393
Ga1 0.0000 0.0000 0.4265
Ga2 0.0000 0.5000 0.5729
Pm4 0.5000 0.5000 0.3500
Pt1 0.5000 0.5000 0.0754
Ga3 0.5000 0.0000 0.9265

VASP energy (eV per cell): -39.876
Energy of formation (eV per atom): -0.719
Volume (Å³/cell): 202.5
DOS at the Fermi energy (states/eV/atom): 1.138